# PaCuRh3 | Alexandria via LeMat-Bulk | PBE | relaxed
# Energy of formation = -462 meV per atom
# Total magnetic moment = 0.00 Bohr magnetons per cell
data_PaCuRh3
_space_group_name_H-M_alt 'P 1'
_space_group_IT_number 1
_space_group_name_Hall 'P 1'
_cell_length_a 4.319
_cell_length_b 5.653
_cell_length_c 6.903
_cell_angle_alpha 90.00
_cell_angle_beta 90.00
_cell_angle_gamma 90.00
loop_
_atom_site_label
_atom_site_fract_x
_atom_site_fract_y
_atom_site_fract_z
Pa1 0.250 0.250 0.197
Pa2 0.750 0.750 0.803
Cu1 0.250 0.750 0.427
Cu2 0.750 0.250 0.573
Rh1 0.250 0.010 0.724
Rh2 0.250 0.490 0.724
Rh3 0.250 0.750 0.065
Rh4 0.750 0.250 0.935
Rh5 0.750 0.510 0.276
Rh6 0.750 0.990 0.276